Here is crystalline Y8TlBi3Te4 at its relaxed geometry from the Alexandria database. Energies are from PBE.

Cell and atoms, written as POSCAR:
```
Y8TlBi3Te4
1.0
-1.930 3.583 7.873
3.836 -6.850 4.058
4.506 4.692 -6.019
Y Te Bi Tl
8 4 3 1
direct
0.245 0.258 0.001
0.243 0.742 0.487
0.251 0.254 0.503
0.243 0.742 0.999
0.749 0.746 0.497
0.755 0.742 0.999
0.757 0.258 0.513
0.757 0.258 0.001
0.000 0.000 0.000
0.000 0.000 0.500
0.500 0.000 0.000
0.500 0.000 0.500
0.500 0.500 0.000
0.500 0.500 0.500
0.000 0.500 0.500
0.000 0.500 0.000
```

## Properties
* formation energy (no corrections): -1.064 eV per atom
* D(E_F): 2.2 states/eV/cell
* electronic total energy: -5.96 eV/atom
* calculated density: 6956 kg/m³
* SG: R-3m, No. 166

---

Here is crystalline Y3Tl3BiTe8 at its relaxed geometry from the Alexandria database. Energies are from PBE.

Cell and atoms, written as POSCAR:
```
Y3Tl3BiTe8
1.0
8.917 0.000 0.000
-4.458 7.724 -0.033
0.000 -5.123 8.020
Y Te Bi Tl
3 8 1 3
direct
0.500 0.500 0.500
0.500 0.000 0.500
0.000 0.500 0.500
0.756 0.025 0.282
0.731 0.975 0.718
0.756 0.512 0.282
0.244 0.975 0.718
0.244 0.488 0.718
0.269 0.025 0.282
0.739 0.478 0.718
0.261 0.522 0.282
0.000 0.000 0.500
0.000 0.500 0.000
0.000 0.000 0.000
0.500 0.500 0.000
```

## Properties
* formation energy (no corrections): -0.859 eV per atom
* D(E_F): 9.2 states/eV/cell
* electronic total energy: -4.56 eV/atom
* calculated density: 6359 kg/m³
* SG: C2/m, No. 12

---

Here is crystalline ZrTl3Bi2Te6 at its relaxed geometry from the Alexandria database. Energies are from PBE.

Cell and atoms, written as POSCAR:
```
ZrTl3Bi2Te6
1.0
-1.104 -6.048 4.883
4.564 -0.856 -6.331
5.123 4.560 4.701
Tl Bi Te Zr
3 2 6 1
direct
0.830 0.170 0.500
0.170 0.830 0.500
0.500 0.500 0.500
0.334 0.666 0.000
0.666 0.334 0.000
0.758 0.758 0.212
0.616 0.930 0.789
0.070 0.384 0.211
0.384 0.070 0.211
0.930 0.616 0.789
0.242 0.242 0.788
0.000 0.000 0.000
```

## Properties
* formation energy (no corrections): -0.399 eV per atom
* D(E_F): 5.3 states/eV/cell
* electronic total energy: -3.92 eV/atom
* calculated density: 7437 kg/m³
* SG: C2/m, No. 12

---

Here is crystalline Tm4Bi2Te5 at its relaxed geometry from the Alexandria database. Energies are from PBE.

Cell and atoms, written as POSCAR:
```
Tm4Bi2Te5
1.0
-1.859 -3.359 1.330
6.942 -5.610 -4.470
2.464 4.690 9.086
Te Tm Bi
5 4 2
direct
0.159 0.853 0.319
0.500 0.000 0.000
0.841 0.147 0.681
0.159 0.466 0.319
0.841 0.534 0.681
0.000 0.779 0.000
0.599 0.599 0.198
0.000 0.221 0.000
0.401 0.401 0.802
0.822 0.822 0.645
0.178 0.178 0.355
```

## Properties
* formation energy (no corrections): -0.626 eV per atom
* D(E_F): 6.6 states/eV/cell
* electronic total energy: -4.39 eV/atom
* calculated density: 7850 kg/m³
* SG: Immm, No. 71

---

Here is crystalline Tm5Bi4Te at its relaxed geometry from the Alexandria database. Energies are from PBE.

Cell and atoms, written as POSCAR:
```
Tm5Bi4Te
1.0
4.301 0.000 0.983
1.815 7.154 1.961
0.013 0.008 9.848
Tm Te Bi
5 1 4
direct
0.201 0.900 0.698
0.799 0.100 0.302
0.000 0.500 0.500
0.399 0.304 0.899
0.601 0.696 0.101
0.000 0.000 0.000
0.201 0.399 0.199
0.599 0.200 0.602
0.799 0.601 0.801
0.401 0.800 0.398
```

## Properties
* formation energy (no corrections): -0.883 eV per atom
* D(E_F): 1.7 states/eV/cell
* electronic total energy: -4.99 eV/atom
* calculated density: 9913 kg/m³
* SG: C2/m, No. 12

---

Here is crystalline Tm10Bi3Te3 at its relaxed geometry from the Alexandria database. Energies are from PBE.

Cell and atoms, written as POSCAR:
```
Tm10Bi3Te3
1.0
6.166 0.000 0.000
0.000 7.796 -4.501
0.000 0.000 9.002
Tm Te Bi
10 3 3
direct
0.249 0.333 0.667
0.500 0.751 0.000
0.000 0.751 0.751
0.500 0.000 0.751
0.249 0.667 0.333
0.751 0.667 0.333
0.000 0.000 0.249
0.751 0.333 0.667
0.000 0.249 0.000
0.500 0.249 0.249
0.000 0.614 0.000
0.000 0.386 0.386
0.000 0.000 0.614
0.500 0.389 0.000
0.500 0.000 0.389
0.500 0.611 0.611
```

## Properties
* formation energy (no corrections): -0.719 eV per atom
* D(E_F): 9.9 states/eV/cell
* electronic total energy: -4.83 eV/atom
* calculated density: 10359 kg/m³
* SG: P-62m, No. 189

---

Here is crystalline TmBiTe at its relaxed geometry from the Alexandria database. Energies are from PBE.

Cell and atoms, written as POSCAR:
```
TmBiTe
1.0
4.161 0.001 0.000
-0.001 4.164 0.000
0.000 0.000 6.331
Te Tm Bi
1 1 1
direct
0.591 0.271 0.000
0.091 0.771 0.000
0.089 0.775 0.500
```

## Properties
* formation energy (no corrections): -0.503 eV per atom
* D(E_F): 2.6 states/eV/cell
* electronic total energy: -4.33 eV/atom
* calculated density: 7652 kg/m³
* SG: Pm, No. 6

---

Here is crystalline Tm3Bi2Te at its relaxed geometry from the Alexandria database. Energies are from PBE.

Cell and atoms, written as POSCAR:
```
Tm3Bi2Te
1.0
4.301 0.000 0.000
-2.151 7.832 0.000
0.000 0.000 10.221
Tm Te Bi
6 2 4
direct
0.337 0.674 0.537
0.663 0.326 0.463
0.856 0.712 0.250
0.663 0.326 0.037
0.144 0.288 0.750
0.337 0.674 0.963
0.779 0.558 0.750
0.221 0.442 0.250
0.000 0.000 0.500
0.000 0.000 0.000
0.498 0.997 0.750
0.502 0.003 0.250
```

## Properties
* formation energy (no corrections): -0.631 eV per atom
* D(E_F): 8.3 states/eV/cell
* electronic total energy: -4.68 eV/atom
* calculated density: 10151 kg/m³
* SG: Cmcm, No. 63

---

Question: Number 4 is which compound?
Answer: Tm4Bi2Te5